The following is a PBE calculation of a relaxed Ac2TmPb3 crystal, from Alexandria via LeMat-Bulk.

Size of the total moment in μB/f.u.: 0.00
ΔH_f (0 K) in eV/atom: -0.3855
E_tot in eV/cell: -26.13
Energy above the most stable polymorph in this dataset in meV per atom: 54.0
SG: Immm (71)

The structure in extended XYZ format:
```
6
Lattice="5.364 0.000 0.000 0.000 6.709 0.000 -2.682 -3.355 6.064" Properties=species:S:1:pos:R:3 pbc="T T T"
Pb 0.000 0.000 0.000
Pb 2.682 3.355 1.642
Ac 0.000 3.355 3.904
Pb 0.000 0.000 4.422
Ac 2.682 0.000 2.160
Tm 0.000 3.355 0.000
```